DFT (PBE) results for a geometry-optimized Li2Y3Mg3 structure.

The structure belongs to space group R3m (No. 160, hexagonal axes); the cell edges are 5.2407, 5.2407 and 25.7783 Å and the angles 90.00°, 90.00° and 120.00°. The inequivalent atoms are Li at (0.0000, 0.0000, 0.0000), Li at (0.0000, 0.0000, 0.4932), Y at (0.0000, 0.0000, 0.3700), Y at (0.0000, 0.0000, 0.6203), Y at (0.0000, 0.0000, 0.8705), Mg at (0.0000, 0.0000, 0.1207), Mg at (0.0000, 0.0000, 0.2417) and Mg at (0.0000, 0.0000, 0.7470).

The value obtained for the density of states at the Fermi level is 7.46 states/eV/f.u. The calculation puts the formation energy at 0.01 eV per atom.

DFT (PBE) results for a geometry-optimized Li3Sn4Hg structure.

The structure belongs to space group C2/m (No. 12); the cell edges are 24.700, 3.322 and 4.606 Å and the angles 90.00°, 99.07° and 90.00°. The inequivalent atoms are Li at (0.000, 0.000, 0.000), Li at (0.144, 0.000, 0.674), Sn at (0.097, 0.500, 0.138), Sn at (0.221, 0.500, 0.228) and Hg at (0.000, 0.500, 0.500).

The value obtained for the density of states at the Fermi level is 1.65 states/eV/f.u. The calculation puts the formation energy at -0.19 eV per atom.

DFT (PBE) results for a geometry-optimized Ta2FeNiH structure.

The structure belongs to space group P4/mmm (No. 123); the cell edges are 4.196, 4.196 and 3.427 Å and the angles 90.00°, 90.00° and 90.00°. The inequivalent atoms are Ta at (0.000, 0.500, 0.000), Fe at (0.000, 0.000, 0.500), Ni at (0.500, 0.500, 0.500) and H at (0.500, 0.500, 0.000).

The value obtained for the density of states at the Fermi level is 3.82 states/eV/f.u. The energy above the lowest structure with this stoichiometry comes out at 0 meV/atom.

DFT (PBE) results for a geometry-optimized KTa2Cu structure.

The structure belongs to space group P4/mmm (No. 123); the cell edges are 3.908, 3.908 and 5.560 Å and the angles 90.00°, 90.00° and 90.00°. The inequivalent atoms are K at (0.000, 0.000, 0.000), Ta at (0.000, 0.500, 0.500) and Cu at (0.500, 0.500, 0.000).

The value obtained for the density of states at the Fermi level is 4.84 states/eV/f.u. The calculation puts the formation energy at 1.38 eV per atom. The energy above the lowest structure with this stoichiometry comes out at 796 meV/atom.

DFT (PBE) results for a geometry-optimized HfZrS2 structure.

The structure belongs to space group R3m (No. 160, hexagonal axes); the cell edges are 3.4292, 3.4292 and 20.8236 Å and the angles 90.00°, 90.00° and 120.00°. The inequivalent atoms are Hf at (0.0000, 0.0000, 0.0000), Zr at (0.0000, 0.0000, 0.8358), S at (0.0000, 0.0000, 0.4171) and S at (0.0000, 0.0000, 0.5858).

The value obtained for the density of states at the Fermi level is 1.80 states/eV/f.u. The calculation puts the uncorrected formation energy at -1.37 eV per atom. The energy above the lowest structure with this stoichiometry comes out at 113 meV/atom.

DFT (PBE) results for a geometry-optimized LiPm2Pb2 structure.

The structure belongs to space group Ibam (No. 72); the cell edges are 6.712, 13.244 and 6.529 Å and the angles 90.00°, 90.00° and 90.00°. The inequivalent atoms are Li at (0.000, 0.000, 0.250), Pm at (0.215, 0.362, 0.000) and Pb at (0.235, 0.118, 0.000).

The value obtained for the density of states at the Fermi level is 2.98 states/eV/f.u. The calculation puts the formation energy at -0.43 eV per atom. The energy above the lowest structure with this stoichiometry comes out at 65 meV/atom.